No. 1
Here is crystalline PmPr2SmHo at its relaxed geometry from the Alexandria database. Energies are from GGA-PBE.

Cell lengths 8.2288, 6.7807, 6.3065 Å; angles 90.00, 90.13, 90.00 degrees
Closest atoms and distances in Å follow each position.
Fractional positions:
Pm 0.0000 0.0796 0.2500  2 Pr 3.13, 2 Sm 3.26, 2 Pm 3.33
Pm 0.0000 0.9204 0.7500  2 Pr 3.13, 2 Sm 3.26, 2 Pm 3.33
Pr 0.3043 0.1965 0.7490  1 Pm 3.13, 1 Pr 3.22
Pr 0.3043 0.8035 0.2490  1 Pm 3.13, 1 Pr 3.22
Pr 0.6957 0.1965 0.7510  1 Pm 3.13, 1 Pr 3.22
Pr 0.6957 0.8035 0.2510  1 Pm 3.13, 1 Pr 3.22
Sm 0.0000 0.5000 0.0000  2 Sm 3.15, 2 Pm 3.26
Sm 0.0000 0.5000 0.5000  2 Sm 3.15, 2 Pm 3.26
Ho 0.5000 0.3396 0.2500  6 Pr 3.53-3.67, 2 Ho 3.83
Ho 0.5000 0.6604 0.7500  6 Pr 3.53-3.67, 2 Ho 3.83

Results
**Magnetic moment**: 0.00 μB per cell
**Space group**: P2/c
**E_tot**: -0.328 Ry/atom
**Energy of formation from the pure elements**: 0.255 eV/atom


No. 2
Here is crystalline Ho8Ga2Pd at its relaxed geometry from the Alexandria database. Energies are from GGA-PBE.

Cell lengths 9.4734, 9.4734, 6.5843 Å; angles 100.75, 100.75, 30.15 degrees
Closest atoms and distances in Å follow each position.
Fractional positions:
Ho 0.0238 0.0238 0.2732  2 Pd 2.96, 1 Ga 3.04, 1 Ho 3.27
Ho 0.2092 0.2092 0.8201  3 Ga 2.99-3.20, 2 Ho 3.35
Ho 0.3459 0.3459 0.5185  1 Pd 2.85, 3 Ga 2.99-3.04
Ho 0.4085 0.4085 0.0371  1 Pd 3.18, 6 Ho 3.39-3.52, 2 Ga 3.42
Ho 0.5915 0.5915 0.9629  1 Pd 3.18, 6 Ho 3.39-3.52, 2 Ga 3.42
Ho 0.6541 0.6541 0.4815  1 Pd 2.85, 3 Ga 2.99-3.04
Ho 0.7908 0.7908 0.1799  3 Ga 2.99-3.20, 2 Ho 3.35
Ho 0.9762 0.9762 0.7268  2 Pd 2.96, 1 Ga 3.04, 1 Ho 3.27
Ga 0.1889 0.1889 0.2598  7 Ho 2.99-3.20
Ga 0.8111 0.8111 0.7402  7 Ho 2.99-3.20
Pd 0.5000 0.5000 0.5000  8 Ho 2.85-3.18

Results
**Magnetic moment**: 0.00 μB per cell
**Space group**: C2/m
**E_tot**: -0.346 Ry/atom
**Energy of formation from the pure elements**: -0.361 eV/atom